(1)
Computed, not measured: crystalline Cd2InSb at its relaxed geometry at the PBE-GGA level of DFT.

As for the space group: Cmmm (65). The value obtained for the calculated volume is 102 Å³ per cell. As for the formation energy (no corrections): 0.076 eV per atom. For the polymorph energy (0 for the lowest one), the calculation gives 38.3 meV/atom. The density of states at the Fermi level is 1.25 states/eV/f.u. The calculation puts the uncorrected energy at -2.097 eV per atom.

Cell lengths 3.3235, 3.3235, 9.3936 Å; angles 90.00, 90.00, 99.56 degrees
Last column: nearest neighbours and their distance in Å.
Atoms (fractional coordinates):
Cd1 0.0000 0.0000 0.2469  4 In 3.16-3.44, 4 Sb 3.20-3.48, 4 Cd 3.32
Cd2 0.0000 0.0000 0.7531  4 In 3.16-3.44, 4 Sb 3.20-3.48, 4 Cd 3.32
In1 0.5000 0.5000 0.0000  8 Cd 3.16-3.44, 4 In 3.32
Sb1 0.5000 0.5000 0.5000  8 Cd 3.20-3.48, 4 Sb 3.32

=====

(2)
Computed, not measured: crystalline TbTlTeO4 at its relaxed geometry at the PBE-GGA level of DFT.

As for the space group: P2_1/m (11). The value obtained for the calculated volume is 267 Å³ per cell. As for the formation energy (no corrections): -1.808 eV per atom. The density of states at the Fermi level is 0.00 states/eV/f.u. The calculation puts the uncorrected energy at -6.090 eV per atom.

Cell lengths 5.8868, 6.0352, 7.7677 Å; angles 90.00, 104.83, 90.00 degrees
Last column: nearest neighbours and their distance in Å.
Atoms (fractional coordinates):
Tb1 0.1725 0.2500 0.4600  6 O 2.27-2.41
Tb2 0.8275 0.7500 0.5400  6 O 2.27-2.41
Tl1 0.0720 0.7500 0.1272  3 O 2.65-2.77
Tl2 0.9280 0.2500 0.8728  3 O 2.65-2.77
Te1 0.3972 0.7500 0.7530  4 O 1.93-2.05
Te2 0.6028 0.2500 0.2470  4 O 1.93-2.05
O1 0.1517 0.5092 0.6718  1 Te 2.03
O2 0.1517 0.9908 0.6718  1 Te 2.03
O3 0.2424 0.2500 0.1856  1 Te 2.05, 1 Tb 2.27
O4 0.4295 0.7500 0.5125  1 Te 1.93
O5 0.5705 0.2500 0.4875  1 Te 1.93
O6 0.7576 0.7500 0.8144  1 Te 2.05, 1 Tb 2.27
O7 0.8483 0.0092 0.3282  1 Te 2.03
O8 0.8483 0.4908 0.3282  1 Te 2.03

=====

(3)
Computed, not measured: crystalline CdW2 at its relaxed geometry at the PBE-GGA level of DFT.

As for the space group: Pa-3 (205). The value obtained for the calculated volume is 254 Å³ per cell. The formation energy is 2.01 eV/atom. For the polymorph energy (0 for the lowest one), the calculation gives 1526.7 meV/atom. The density of states at the Fermi level is 1.00 states/eV/f.u. The calculation puts the uncorrected energy at -6.933 eV per atom.

Cell lengths 6.3367, 6.3367, 6.3367 Å; angles 90.00, 90.00, 90.00 degrees
Last column: nearest neighbours and their distance in Å.
Atoms (fractional coordinates):
Cd1 0.0000 0.0000 0.0000  6 W 2.67
Cd2 0.0000 0.5000 0.5000  6 W 2.67
Cd3 0.5000 0.0000 0.5000  6 W 2.67
Cd4 0.5000 0.5000 0.0000  6 W 2.67
W1 0.1069 0.6069 0.8931  1 W 2.35
W2 0.1069 0.8931 0.3931  1 W 2.35
W3 0.3931 0.1069 0.8931  1 W 2.35
W4 0.3931 0.3931 0.3931  1 W 2.35
W5 0.6069 0.6069 0.6069  1 W 2.35
W6 0.6069 0.8931 0.1069  1 W 2.35
W7 0.8931 0.1069 0.6069  1 W 2.35
W8 0.8931 0.3931 0.1069  1 W 2.35

=====

(4)
Computed, not measured: crystalline Sr3InPb at its relaxed geometry at the PBE-GGA level of DFT.

As for the space group: Pm-3m (221). The value obtained for the calculated volume is 258 Å³ per cell. The formation energy is -0.06 eV/atom. For the polymorph energy (0 for the lowest one), the calculation gives 293.0 meV/atom. The density of states at the Fermi level is 5.85 states/eV/f.u. The calculation puts the uncorrected energy at -2.358 eV per atom.

Cell lengths 6.3650, 6.3650, 6.3650 Å; angles 90.00, 90.00, 90.00 degrees
Last column: nearest neighbours and their distance in Å.
Atoms (fractional coordinates):
Sr1 0.0000 0.0000 0.5000  2 Pb 3.18
Sr2 0.0000 0.5000 0.0000  2 Pb 3.18
Sr3 0.5000 0.0000 0.0000  2 Pb 3.18
In1 0.5000 0.5000 0.5000  12 Sr 4.50
Pb1 0.0000 0.0000 0.0000  6 Sr 3.18

=====

Which of these has the lowest uncorrected energy? CdW2